The following is a PBE-GGA calculation of a geometry-optimized TmB2H6 structure, from the Alexandria database.

Values from the calculation:
- uncorrected energy (eV/atom) = -2.9751

Cell and atoms, written as POSCAR:
```
TmB2H6
1.0
-1.905 -2.953 2.750
2.510 -3.030 2.106
0.648 0.312 4.404
B H Tm
2 6 1
Direct
0.250 0.250 0.250 B
0.750 0.750 0.750 B
0.346 0.654 0.346 H
0.654 0.346 0.654 H
0.346 0.346 0.654 H
0.654 0.654 0.346 H
0.346 0.654 0.654 H
0.654 0.346 0.346 H
0.000 0.000 0.000 Tm
```



The following is a PBE-GGA calculation of a geometry-optimized UBH structure, from the Alexandria database.

Values from the calculation:
- relative energy among the computed polymorphs (eV per atom) = 0.211
- uncorrected energy (eV/atom) = -6.8462

Cell and atoms, written as POSCAR:
```
UBH
1.0
3.538 0.000 0.000
0.000 3.538 0.000
-1.769 -1.769 3.049
U B H
1 1 1
Direct
0.944 0.944 0.888 U
0.348 0.348 0.695 B
0.558 0.558 0.117 H
```



The following is a PBE-GGA calculation of a geometry-optimized UBH structure, from the Alexandria database.

Values from the calculation:
- relative energy among the computed polymorphs (eV per atom) = 0.284
- uncorrected energy (eV/atom) = -6.7736

Cell and atoms, written as POSCAR:
```
UBH
1.0
3.861 0.000 0.000
1.931 3.344 0.000
1.931 1.115 3.153
H U B
1 1 1
Direct
0.500 0.500 0.500 H
0.250 0.250 0.250 U
0.000 0.000 0.000 B
```



no.,volume (Å³/cell)
1,62.82
2,38.18
3,40.71